Ir2SeI (PBE-GGA, relaxed); space-group type = Fm-3m; E_form (uncorrected) = 0.965 eV per atom
1.0
4.1805 -1.2893 -1.6324
1.6170 -4.2961 0.8559
0.2937 -3.1172 -3.4642
I Ir Se
1 2 1
direct
0.5000 0.5000 0.5000
0.2500 0.2500 0.2500
0.7500 0.7500 0.7500
0.0000 0.0000 0.0000

=====

InCo2Mo (PBE-GGA, relaxed); energy = -27.2 eV/cell; space-group type = Pmmm
1.0
-1.0288 2.9419 1.4198
-1.6924 -1.4384 1.7540
2.6944 -1.8019 5.6861
Co In Mo
2 1 1
direct
0.0000 0.0338 0.9664
0.0000 0.4662 0.5336
0.5000 0.2500 0.2500
0.5000 0.7500 0.7500

=====

Er8Tm3 (PBE-GGA, relaxed); energy = -43.4 eV/cell; space-group type = R-3
1.0
7.0947 0.3780 0.3687
0.5579 7.0828 0.3687
0.5579 0.5439 7.0715
Er Tm
8 3
direct
0.8757 0.3013 0.1619
0.3013 0.1619 0.8757
0.1619 0.8757 0.3013
0.3942 0.3942 0.3942
0.6058 0.6058 0.6058
0.8381 0.1243 0.6987
0.6987 0.8381 0.1243
0.1243 0.6987 0.8381
0.5000 0.0000 0.5000
0.0000 0.5000 0.5000
0.5000 0.5000 0.0000

=====

Ac2Pm5NdTm (PBE-GGA, relaxed); energy = -79.9 eV/cell; space-group type = Cmc2_1
1.0
-3.0727 1.0534 -4.8552
4.9515 -9.3471 -1.6474
-8.5676 -5.2919 4.2739
Ac Pm Nd Tm
4 10 2 2
direct
0.8831 0.7662 0.8169
0.1138 0.2276 0.7317
0.1169 0.2338 0.3169
0.8862 0.7724 0.2317
0.3849 0.7697 0.0193
0.7185 0.4370 0.8132
0.4837 0.9674 0.7422
0.2946 0.5892 0.7042
0.9813 0.9626 0.5205
0.6151 0.2303 0.5193
0.2815 0.5630 0.3132
0.5163 0.0326 0.2422
0.7054 0.4108 0.2042
0.0187 0.0374 0.0205
0.5905 0.1810 0.9659
0.4095 0.8190 0.4659
0.7947 0.5895 0.5101
0.2053 0.4105 0.0101

=====

MgH2Rh (PBE-GGA, relaxed); energy = -33.5 eV/cell; space-group type = I-42d
1.0
-1.2939 1.7487 3.4735
-3.6546 -1.7981 -0.4561
-0.9491 -3.7437 3.9491
H Mg Rh
4 2 2
direct
0.6933 0.1250 0.2500
0.0567 0.6250 0.2500
0.3750 0.3067 0.7500
0.8750 0.9433 0.7500
0.5000 0.5000 0.0000
0.2500 0.7500 0.5000
0.0000 0.0000 0.0000
0.7500 0.2500 0.5000

=====

Zn2Pd2Au (PBE-GGA, relaxed); energy = -36.0 eV/cell; space-group type = P4/mbm
1.0
-6.4674 2.5345 2.5600
-3.2566 -1.8643 -6.3815
-0.5971 -2.5981 1.0637
Zn Au Pd
4 2 4
direct
0.1616 0.6616 0.5000
0.6616 0.8384 0.5000
0.8384 0.3384 0.5000
0.3384 0.1616 0.5000
0.0000 0.0000 0.0000
0.5000 0.5000 0.0000
0.3643 0.8643 0.0000
0.8643 0.6357 0.0000
0.6357 0.1357 0.0000
0.1357 0.3643 0.0000

=====

CdCuMo2Pd (PBE-GGA, relaxed); energy = -23.3 eV/cell; space-group type = P4/mmm
1.0
-0.7838 -4.6543 -1.0293
2.4346 -1.3354 4.1848
-4.1519 0.1542 2.4646
Mo Cu Pd Cd
2 1 1 1
direct
0.0000 0.0000 0.5000
0.5000 0.0000 0.0000
0.5000 0.5000 0.5000
0.0000 0.0000 0.0000
0.0000 0.5000 0.0000

=====

GeB (PBE-GGA, relaxed); energy = -59.8 eV/cell; space-group type = P6_3/m
1.0
-4.1848 -1.6032 6.7954
-2.7512 -2.6388 -7.1922
1.7998 -2.9806 0.4051
Ge B
6 6
direct
0.8830 0.2920 0.2500
0.5910 0.8830 0.7500
0.7080 0.5910 0.2500
0.1170 0.7080 0.7500
0.4090 0.1170 0.2500
0.2920 0.4090 0.7500
0.6394 0.0322 0.2500
0.6073 0.6394 0.7500
0.9678 0.6073 0.2500
0.3606 0.9678 0.7500
0.3927 0.3606 0.2500
0.0322 0.3927 0.7500

=====

P2RhBr (PBE-GGA, relaxed); space-group type = P4/mmm; E_form (uncorrected) = 0.106 eV per atom
1.0
-0.3971 -2.7026 0.8117
1.8237 0.3772 2.1569
-8.1874 3.1185 6.3774
Br P Rh
1 2 1
direct
0.5000 0.5000 0.7500
0.0000 0.0000 0.1067
0.0000 0.0000 0.3933
0.5000 0.5000 0.2500

=====

Ag4Pt3 (PBE-GGA, relaxed); energy = -29.5 eV/cell; space-group type = C2/m
1.0
-5.7878 -2.9519 -0.2768
-4.4732 -3.9643 -2.5620
0.3127 -6.3377 2.9876
Ag Pt
4 3
direct
0.9975 0.9975 0.9908
0.7167 0.7167 0.8664
0.1416 0.1416 0.5759
0.5727 0.5727 0.2812
0.4258 0.4258 0.7015
0.8571 0.8571 0.4286
0.2885 0.2885 0.1556

=====

ZrCoAsSe2 (PBE-GGA, relaxed); space-group type = P4/mmm; E_form (uncorrected) = 0.443 eV per atom
1.0
-4.3375 2.7793 -0.3541
-1.7484 -2.1751 4.3446
2.2186 3.8198 2.8052
As Co Se Zr
1 1 2 1
direct
0.0000 0.0000 0.5000
0.5000 0.5000 0.5000
0.0000 0.5000 0.0000
0.5000 0.0000 0.0000
0.0000 0.0000 0.0000

=====

EuErTlAu (PBE-GGA, relaxed); energy = -22.6 eV/cell; space-group type = F-43m
1.0
5.3126 0.0000 0.0000
2.6563 4.6009 0.0000
2.6563 1.5336 4.3377
Eu Tl Au Er
1 1 1 1
direct
0.0000 0.0000 0.0000
0.2500 0.2500 0.2500
0.7500 0.7500 0.7500
0.5000 0.5000 0.5000